[1]
TaTc2Os | Alexandria | SCAN | single point on PBEsol structure; energy relative to the lowest polymorph listed for this composition = 0 meV/atom; magnetization = 0.0000 μB/atom; uncorrected energy = -52.053 eV/atom; ΔH_f (0 K) = 0.4 eV per formula unit
1.0
-0.672 -1.388 -2.292
1.974 -1.194 -1.520
-0.421 -8.432 3.565
Tc Ta Os
2 1 1
Direct
0.750 0.750 0.751
0.005 0.005 0.986
0.249 0.249 0.252
0.496 0.496 0.511



[2]
KGaCu2Re | Alexandria | SCAN | single point on PBEsol structure; magnetization = 0.3603 μB/atom; uncorrected energy = -24.123 eV/atom; ΔH_f (0 K) = 5.6 eV per formula unit
1.0
-2.103 -0.930 -4.006
3.921 -1.813 -1.637
-1.278 -4.264 1.661
K Ga Cu Re
1 1 2 1
Direct
0.500 0.500 0.500
0.000 0.000 0.000
0.500 0.000 0.000
0.000 0.500 0.000
0.000 0.000 0.500



[3]
MgHPt2Au | Alexandria | SCAN | single point on PBEsol structure; magnetization = 0.0000 μB/atom; uncorrected energy = -43.962 eV/atom
1.0
-0.816 -3.707 -1.298
3.479 -1.297 1.517
-1.845 -0.828 3.524
H Pt Au Mg
1 2 1 1
Direct
0.000 0.000 0.000
0.500 0.000 0.000
0.000 0.500 0.000
0.000 0.000 0.500
0.500 0.500 0.500



[4]
Sr2Au | Alexandria | SCAN | single point on PBEsol structure; magnetization = 0.0000 μB/atom; uncorrected energy = -38.605 eV/atom; ΔH_f (0 K) = -2.1 eV per formula unit
1.0
-0.612 -1.540 4.172
-1.689 -6.412 -2.615
7.161 -2.012 0.308
Au Sr
2 4
Direct
0.000 0.000 0.000
0.500 0.500 0.500
0.000 0.262 0.669
0.000 0.738 0.331
0.500 0.762 0.831
0.500 0.238 0.169



[5]
KTcSb2 | Alexandria | SCAN | single point on PBEsol structure; energy relative to the lowest polymorph listed for this composition = 403 meV/atom; magnetization = 0.0000 μB/atom; uncorrected energy = -29.274 eV/atom; ΔE_f (raw) = 0.204 eV/atom
1.0
3.115 0.000 0.000
0.000 6.405 0.000
-1.557 -3.203 5.336
Sb Tc K
2 1 1
Direct
0.803 0.803 0.606
0.197 0.197 0.394
0.500 0.000 0.000
0.000 0.500 0.000



[6]
DyNi4As2 | Alexandria | SCAN | single point on PBEsol structure; magnetization = 0.0000 μB/atom; uncorrected energy = -22.512 eV/atom; ΔH_f (0 K) = -4.7 eV per formula unit
1.0
3.730 0.000 0.000
0.000 7.134 0.000
0.000 0.000 7.134
Ni As Dy
8 4 2
Direct
0.000 0.911 0.653
0.500 0.847 0.411
0.500 0.589 0.153
0.500 0.153 0.589
0.000 0.089 0.347
0.000 0.653 0.911
0.500 0.411 0.847
0.000 0.347 0.089
0.500 0.718 0.718
0.000 0.218 0.782
0.500 0.282 0.282
0.000 0.782 0.218
0.500 0.000 0.000
0.000 0.500 0.500



[7]
K2BaCa | Alexandria | SCAN | single point on PBEsol structure; energy relative to the lowest polymorph listed for this composition = 2 meV/atom; magnetization = 0.0138 μB/atom; uncorrected energy = -16.375 eV/atom; ΔH_f (0 K) = 0.4 eV per formula unit
1.0
-3.567 0.928 -1.922
-1.517 -3.734 1.014
-4.840 5.069 11.430
Ca K Ba
1 2 1
Direct
0.500 0.500 0.742
0.500 0.500 0.255
0.000 0.000 0.979
0.000 0.000 0.523



[8]
SrOs3 | Alexandria | SCAN | single point on PBEsol structure; magnetization = 0.0000 μB/atom; uncorrected energy = -58.637 eV/atom; ΔH_f (0 K) = 3.4 eV per formula unit
1.0
-1.295 -2.441 0.215
2.700 -1.164 3.057
-3.909 2.461 4.391
Os Sr
3 1
Direct
0.500 0.000 0.599
0.500 0.500 0.818
0.000 0.000 0.946
0.000 0.500 0.304



[9]
MgCo2Ru | Alexandria | SCAN | single point on PBEsol structure; magnetization = 1.0242 μB/atom; uncorrected energy = -18.565 eV/atom; ΔH_f (0 K) = 0.1 eV per formula unit
1.0
2.934 0.000 0.000
0.000 4.135 0.000
0.000 0.000 4.135
Co Mg Ru
2 1 1
Direct
0.000 0.500 0.000
0.000 0.000 0.500
0.500 0.500 0.500
0.500 0.000 0.000



[10]
ZnPtRh2 | Alexandria | SCAN | single point on PBEsol structure; magnetization = 0.0000 μB/atom; uncorrected energy = -38.044 eV/atom; ΔH_f (0 K) = -0.9 eV per formula unit
1.0
-1.179 -1.308 -2.047
1.349 -4.042 1.806
-4.163 1.025 1.743
Rh Zn Pt
2 1 1
Direct
0.000 0.000 0.500
0.000 0.500 0.000
0.500 0.000 0.000
0.500 0.500 0.500



[11]
Lu2IrRh | Alexandria | SCAN | single point on PBEsol structure; magnetization = 0.0000 μB/atom; uncorrected energy = -55.103 eV/atom; ΔH_f (0 K) = -4.9 eV per formula unit
1.0
-3.829 1.146 -2.407
-3.975 -2.346 0.684
-3.584 2.062 2.161
Ir Rh Lu
1 1 2
Direct
0.500 0.500 0.500
0.000 0.000 0.000
0.250 0.250 0.250
0.750 0.750 0.750



[12]
SnP2CS | Alexandria | SCAN | single point on PBEsol structure; magnetization = 0.1481 μB/atom; uncorrected energy = -12.926 eV/atom; ΔE_f (raw) = 2.364 eV/atom
1.0
4.861 0.000 0.000
0.000 5.024 0.000
0.000 0.000 5.024
C Sn S P
1 1 1 2
Direct
0.500 0.500 0.500
0.000 0.000 0.000
0.500 0.000 0.000
0.000 0.500 0.000
0.000 0.000 0.500



[13]
BaIn2Os | Alexandria | SCAN | single point on PBEsol structure; magnetization = 0.0015 μB/atom; uncorrected energy = -43.852 eV/atom; ΔH_f (0 K) = 2.8 eV per formula unit
1.0
5.106 0.000 0.000
2.553 4.422 0.000
2.553 1.474 4.169
Ba Os In
1 1 2
Direct
0.500 0.500 0.500
0.250 0.250 0.250
0.000 0.000 0.000
0.750 0.750 0.750



[14]
TlMo2Pb | Alexandria | SCAN | single point on PBEsol structure; energy relative to the lowest polymorph listed for this composition = 1 meV/atom; magnetization = 0.0000 μB/atom; uncorrected energy = -53.587 eV/atom; ΔH_f (0 K) = 3.6 eV per formula unit
1.0
-1.656 2.649 -0.156
-4.127 -2.567 0.230
1.698 1.350 4.874
Mo Pb Tl
2 1 1
Direct
0.500 0.000 0.500
0.000 0.000 0.000
0.500 0.500 0.000
0.000 0.500 0.500



[15]
BaCN2F | Alexandria | SCAN | single point on PBEsol structure; magnetization = 1.4969 μB/atom; uncorrected energy = -12.516 eV/atom; ΔE_f (raw) = 1.839 eV/atom
1.0
-3.342 2.288 -2.778
-0.893 -4.786 -2.868
-4.043 -1.447 3.673
F Ba C N
1 1 1 2
Direct
0.500 0.000 0.000
0.000 0.000 0.000
0.500 0.500 0.500
0.000 0.000 0.500
0.000 0.500 0.000



[16]
BaNbCr2 | Alexandria | SCAN | single point on PBEsol structure; magnetization = 1.3363 μB/atom; uncorrected energy = -26.434 eV/atom; ΔH_f (0 K) = 3.7 eV per formula unit
1.0
-2.391 -1.122 -4.097
-2.325 -4.268 -0.374
-4.873 -0.127 -0.021
Nb Cr Ba
1 2 1
Direct
0.000 0.000 0.000
0.250 0.250 0.250
0.750 0.750 0.750
0.500 0.500 0.500



[17]
SrY2FeBr | Alexandria | SCAN | single point on PBEsol structure; magnetization = 0.1705 μB/atom; uncorrected energy = -23.201 eV/atom; ΔE_f (raw) = -0.091 eV/atom
1.0
-3.694 2.830 -1.444
-1.088 -3.208 -3.503
-3.944 -3.083 4.047
Fe Y Br Sr
1 2 1 1
Direct
0.000 0.000 0.000
0.000 0.500 0.000
0.500 0.000 0.000
0.500 0.500 0.500
0.000 0.000 0.500



[18]
Li2ZnPt | Alexandria | SCAN | single point on PBEsol structure; magnetization = 0.0000 μB/atom; uncorrected energy = -22.668 eV/atom; ΔH_f (0 K) = -2.2 eV per formula unit
1.0
-2.545 2.590 0.624
-2.506 -2.620 0.655
0.964 0.030 3.808
Zn Pt Li
1 1 2
Direct
0.000 0.000 0.500
0.500 0.500 0.500
0.500 0.000 0.000
0.000 0.500 0.000



[19]
Zn3Cu | Alexandria | SCAN | single point on PBEsol structure; magnetization = 0.0000 μB/atom; uncorrected energy = -13.969 eV/atom; ΔH_f (0 K) = -0.1 eV per formula unit
1.0
-0.145 0.698 -2.601
-3.927 -2.147 -0.358
-0.923 4.230 1.187
Zn Cu
3 1
Direct
0.500 0.500 0.000
0.500 0.000 0.500
0.000 0.500 0.500
0.000 0.000 0.000



[20]
KScNi2Ag | Alexandria | SCAN | single point on PBEsol structure; magnetization = 0.0000 μB/atom; uncorrected energy = -15.648 eV/atom; ΔH_f (0 K) = 8.0 eV per formula unit
1.0
4.471 0.000 0.000
0.000 4.471 0.000
0.000 0.000 5.077
Sc Ag K Ni
1 1 1 2
Direct
0.500 0.500 0.500
0.000 0.000 0.500
0.000 0.000 0.000
0.500 0.000 0.000
0.000 0.500 0.000